(1)
Entry from the Alexandria database: a PBEsol-optimized structure of K3Ba (SCAN).

Unit cell a=14.534 b=14.534 c=4.383 alpha=90.00 beta=90.00 gamma=120.00
Atoms (fractional coordinates):
K 0.000 0.500 0.000
K 0.167 0.333 0.333
K 0.167 0.833 0.333
K 0.333 0.167 0.667
K 0.500 0.000 0.000
K 0.500 0.500 0.000
K 0.667 0.833 0.333
K 0.833 0.167 0.667
K 0.833 0.667 0.667
Ba 0.000 0.000 0.000
Ba 0.333 0.667 0.667
Ba 0.667 0.333 0.333

Computed properties:
Fermi-level density of states: 4.38 states/eV/f.u.
ΔE_f: 0.36 eV per formula unit
space group: R-3m

=====

(2)
Entry from the Alexandria database: a PBEsol-optimized structure of Cs2Bi2Sb (SCAN).

Unit cell a=8.103 b=8.103 c=6.188 alpha=90.00 beta=90.00 gamma=90.00
Atoms (fractional coordinates):
Cs 0.176 0.324 0.000
Cs 0.324 0.824 0.000
Cs 0.676 0.176 0.000
Cs 0.824 0.676 0.000
Bi 0.132 0.632 0.500
Bi 0.368 0.132 0.500
Bi 0.632 0.868 0.500
Bi 0.868 0.368 0.500
Sb 0.000 0.000 0.500
Sb 0.500 0.500 0.500

Computed properties:
energy relative to the elements, uncorrected: -1.75 eV per formula unit
Fermi-level density of states: 3.13 states/eV/f.u.
space group: P4/mbm

=====

(3)
Entry from the Alexandria database: a PBEsol-optimized structure of BaFeW3 (SCAN).

Unit cell a=4.638 b=4.638 c=4.638 alpha=90.00 beta=90.00 gamma=90.00
Atoms (fractional coordinates):
Ba 0.000 0.000 0.000
Fe 0.500 0.500 0.500
W 0.000 0.500 0.500
W 0.500 0.000 0.500
W 0.500 0.500 0.000

Computed properties:
Fermi-level density of states: 4.17 states/eV/f.u.
ΔE_f: 8.76 eV per formula unit
space group: Pm-3m

=====

(4)
Entry from the Alexandria database: a PBEsol-optimized structure of In2AgHg (SCAN).

Unit cell a=3.349 b=3.349 c=26.940 alpha=90.00 beta=90.00 gamma=120.00
Atoms (fractional coordinates):
In 0.000 0.000 0.246
In 0.000 0.000 0.754
In 0.333 0.667 0.421
In 0.333 0.667 0.913
In 0.667 0.333 0.087
In 0.667 0.333 0.579
Ag 0.000 0.000 0.500
Ag 0.333 0.667 0.167
Ag 0.667 0.333 0.833
Hg 0.000 0.000 0.000
Hg 0.333 0.667 0.667
Hg 0.667 0.333 0.333

Computed properties:
Fermi-level density of states: 1.29 states/eV/f.u.
ΔE_f: 0.15 eV per formula unit
space group: R-3m